# 1
VASP calculation (PBE-GGA) on a geometry-optimized SrPaBeN3 structure.

Cell and atoms, written as POSCAR:
```
SrPaBeN3
1.0
-2.435 -1.902 -1.606
-1.932 -3.016 6.499
-4.238 5.715 -0.342
Sr Pa Be N
2 2 2 6
Direct
0.250 0.180 0.227
0.750 0.820 0.773
0.250 0.665 0.182
0.750 0.335 0.818
0.250 0.068 0.599
0.750 0.932 0.401
0.750 0.861 0.158
0.250 0.139 0.842
0.250 0.847 0.481
0.750 0.153 0.519
0.750 0.452 0.147
0.250 0.548 0.853
```

Output
V: 15.0 Å³/atom
raw formation energy: -1.31 eV/atom

=====

# 2
VASP calculation (PBE-GGA) on a geometry-optimized P2HOs structure.

Cell and atoms, written as POSCAR:
```
P2HOs
1.0
4.917 0.000 0.000
0.000 4.917 0.000
2.459 2.459 4.725
P Os H
4 2 2
Direct
0.575 0.125 0.250
0.175 0.625 0.250
0.375 0.425 0.750
0.875 0.825 0.750
0.000 0.000 0.000
0.750 0.250 0.500
0.500 0.500 0.000
0.250 0.750 0.500
```

Output
V: 14.3 Å³/atom
E above lowest polymorph: 0 meV per atom

=====

# 3
VASP calculation (PBE-GGA) on a geometry-optimized LaPm2ErIn4 structure.

Cell and atoms, written as POSCAR:
```
LaPm2ErIn4
1.0
-0.336 5.366 0.780
-3.729 2.023 3.394
4.451 1.846 8.139
La Pm Er In
1 2 1 4
Direct
0.000 0.000 0.000
0.751 0.751 0.747
0.249 0.249 0.253
0.500 0.500 0.500
0.377 0.377 0.868
0.873 0.873 0.381
0.127 0.127 0.619
0.623 0.623 0.132
```

Output
V: 28.5 Å³/atom
formation enthalpy at 0 K: -0.477 eV per atom

=====

# 4
VASP calculation (PBE-GGA) on a geometry-optimized Na2NpO2F4 structure.

Cell and atoms, written as POSCAR:
```
Na2NpO2F4
1.0
-2.022 -2.913 2.668
4.448 -2.392 3.433
0.877 2.124 5.658
Na Np O F
2 1 2 4
Direct
0.106 0.623 0.623
0.894 0.377 0.377
0.500 0.000 0.000
0.153 0.148 0.148
0.847 0.852 0.852
0.318 0.639 0.196
0.682 0.804 0.361
0.682 0.361 0.804
0.318 0.196 0.639
```

Output
V: 15.3 Å³/atom
raw formation energy: -2.85 eV/atom

=====

# 5
VASP calculation (PBE-GGA) on a geometry-optimized LiNbPd6 structure.

Cell and atoms, written as POSCAR:
```
LiNbPd6
1.0
-3.838 -0.883 0.417
0.973 -3.597 1.341
0.158 2.760 7.288
Li Nb Pd
1 1 6
Direct
0.000 0.000 0.000
0.000 0.000 0.500
0.500 0.500 0.000
0.500 0.500 0.500
0.500 0.000 0.252
0.500 0.000 0.748
0.000 0.500 0.252
0.000 0.500 0.748
```

Output
V: 15.3 Å³/atom
E above lowest polymorph: 0 meV per atom
formation enthalpy at 0 K: -0.377 eV per atom

=====

# 6
VASP calculation (PBE-GGA) on a geometry-optimized CdSb2Ir structure.

Cell and atoms, written as POSCAR:
```
CdSb2Ir
1.0
0.000 3.494 3.494
3.494 0.000 3.494
3.494 3.494 0.000
Sb Ir Cd
2 1 1
Direct
0.250 0.250 0.250
0.750 0.750 0.750
0.500 0.500 0.500
0.000 0.000 0.000
```

Output
V: 21.3 Å³/atom
E above lowest polymorph: 349 meV per atom
raw formation energy: 0.29 eV/atom

=====

# 7
VASP calculation (PBE-GGA) on a geometry-optimized Tb2PrDy3Ho6 structure.

Cell and atoms, written as POSCAR:
```
Tb2PrDy3Ho6
1.0
-4.957 -1.708 3.207
4.739 -3.865 -0.613
4.825 6.147 8.778
Tb Pr Dy Ho
2 1 3 6
Direct
0.333 0.667 0.000
0.667 0.333 0.000
0.000 0.000 0.000
0.167 0.833 0.500
0.833 0.167 0.500
0.500 0.500 0.500
0.915 0.581 0.748
0.751 0.751 0.252
0.085 0.419 0.252
0.581 0.915 0.748
0.249 0.249 0.748
0.419 0.085 0.252
```

Output
V: 31.6 Å³/atom
formation enthalpy at 0 K: 0.018 eV per atom

=====

# 8
VASP calculation (PBE-GGA) on a geometry-optimized TlAg4Cl8 structure.

Cell and atoms, written as POSCAR:
```
TlAg4Cl8
1.0
-4.106 -4.391 4.899
1.262 -7.644 0.344
3.478 -3.076 6.296
Tl Ag Cl
1 4 8
Direct
0.500 0.500 0.500
0.000 0.500 0.000
0.500 0.500 0.000
0.500 0.000 0.000
0.000 0.000 0.000
0.756 0.249 0.746
0.751 0.244 0.254
0.244 0.751 0.254
0.751 0.751 0.254
0.731 0.731 0.807
0.269 0.269 0.193
0.249 0.249 0.746
0.249 0.756 0.746
```

Output
V: 25.7 Å³/atom
raw formation energy: -0.45 eV/atom

=====

# 9
VASP calculation (PBE-GGA) on a geometry-optimized K2BaMg structure.

Cell and atoms, written as POSCAR:
```
K2BaMg
1.0
-3.466 1.055 -6.582
-0.588 -6.883 2.952
-3.669 1.226 2.128
Ba K Mg
1 2 1
Direct
0.000 0.500 0.500
0.000 0.000 0.000
0.500 0.500 0.000
0.500 0.000 0.500
```

Output
V: 56.0 Å³/atom
E above lowest polymorph: 183 meV per atom
formation enthalpy at 0 K: 0.247 eV per atom

=====

# 10
VASP calculation (PBE-GGA) on a geometry-optimized RbTe2Os structure.

Cell and atoms, written as POSCAR:
```
RbTe2Os
1.0
2.358 0.000 9.742
-1.179 2.042 9.742
-1.179 -2.042 9.742
Te Os Rb
2 1 1
Direct
0.879 0.879 0.879
0.121 0.121 0.121
0.500 0.500 0.500
0.000 0.000 0.000
```

Output
V: 35.2 Å³/atom
E above lowest polymorph: 133 meV per atom
raw formation energy: 0.07 eV/atom

=====

# 11
VASP calculation (PBE-GGA) on a geometry-optimized ZrP2Os structure.

Cell and atoms, written as POSCAR:
```
ZrP2Os
1.0
-1.630 -2.379 -0.760
1.013 0.199 -2.797
6.223 -4.872 1.908
Os P Zr
1 2 1
Direct
0.500 0.500 0.776
0.000 0.000 0.920
0.500 0.500 0.289
0.000 0.000 0.515
```

Output
V: 18.1 Å³/atom
E above lowest polymorph: 387 meV per atom
formation enthalpy at 0 K: -0.250 eV per atom

=====

# 12
VASP calculation (PBE-GGA) on a geometry-optimized K2NpCuTe4 structure.

Cell and atoms, written as POSCAR:
```
K2NpCuTe4
1.0
-5.238 -4.602 -2.459
1.163 -6.895 -0.688
-4.484 -3.175 4.379
K Np Cu Te
2 1 1 4
Direct
0.000 0.500 0.500
0.500 0.500 0.500
0.000 0.000 0.000
0.500 0.000 0.000
0.107 0.351 0.000
0.893 0.000 0.649
0.542 0.000 0.351
0.458 0.649 0.000
```

Output
V: 33.0 Å³/atom
raw formation energy: -0.51 eV/atom

=====

# 13
VASP calculation (PBE-GGA) on a geometry-optimized YErAgAu structure.

Cell and atoms, written as POSCAR:
```
YErAgAu
1.0
5.096 0.000 0.000
2.548 4.413 0.000
2.548 1.471 4.161
Y Au Ag Er
1 1 1 1
Direct
0.750 0.750 0.750
0.500 0.500 0.500
0.000 0.000 0.000
0.250 0.250 0.250
```

Output
V: 23.4 Å³/atom
E above lowest polymorph: 8 meV per atom
formation enthalpy at 0 K: -0.599 eV per atom

=====

# 14
VASP calculation (PBE-GGA) on a geometry-optimized UTlGa2Cl8 structure.

Cell and atoms, written as POSCAR:
```
UTlGa2Cl8
1.0
-6.392 -2.912 -0.864
-0.153 -1.358 6.766
-3.872 8.130 1.598
U Tl Ga Cl
1 1 2 8
Direct
0.000 0.000 0.000
0.000 0.000 0.500
0.500 0.499 0.714
0.500 0.501 0.286
0.138 0.785 0.201
0.704 0.794 0.999
0.860 0.214 0.198
0.862 0.215 0.799
0.296 0.206 0.001
0.140 0.786 0.802
0.651 0.706 0.500
0.349 0.294 0.500
```

Output
V: 37.2 Å³/atom
raw formation energy: -1.24 eV/atom

=====

# 15
VASP calculation (PBE-GGA) on a geometry-optimized Li2AcZn2Au2 structure.

Cell and atoms, written as POSCAR:
```
Li2AcZn2Au2
1.0
-4.050 1.893 -0.906
0.285 -3.499 2.901
2.180 6.774 4.408
Li Ac Zn Au
2 1 2 2
Direct
0.139 0.279 0.422
0.861 0.721 0.578
0.000 0.000 0.000
0.563 0.126 0.685
0.437 0.874 0.315
0.750 0.500 0.252
0.250 0.500 0.748
```

Output
V: 20.4 Å³/atom
formation enthalpy at 0 K: -0.508 eV per atom

=====

# 16
VASP calculation (PBE-GGA) on a geometry-optimized ReSbI2O structure.

Cell and atoms, written as POSCAR:
```
ReSbI2O
1.0
-1.927 4.789 1.394
-4.670 -1.208 -2.307
-1.695 -1.983 4.470
I Re O Sb
2 1 1 1
Direct
0.000 0.500 0.000
0.500 0.000 0.000
0.000 0.000 0.000
0.500 0.500 0.500
0.000 0.000 0.500
```

Output
V: 29.6 Å³/atom
E above lowest polymorph: 1067 meV per atom
raw formation energy: 1.16 eV/atom

=====

# 17
VASP calculation (PBE-GGA) on a geometry-optimized Th3Sn4 structure.

Cell and atoms, written as POSCAR:
```
Th3Sn4
1.0
-0.281 -3.508 2.666
4.816 3.644 1.647
-9.617 8.260 9.854
Th Sn
6 8
Direct
0.663 0.326 0.100
0.340 0.680 0.901
0.663 0.326 0.401
0.339 0.678 0.600
0.934 0.868 0.250
0.068 0.136 0.750
0.202 0.404 0.250
0.800 0.601 0.750
0.376 0.752 0.107
0.001 0.003 0.000
0.376 0.752 0.394
0.627 0.254 0.894
0.001 0.002 0.500
0.626 0.252 0.607
```

Output
V: 29.7 Å³/atom
E above lowest polymorph: 0 meV per atom
formation enthalpy at 0 K: -0.551 eV per atom

=====

# 18
VASP calculation (PBE-GGA) on a geometry-optimized Dy3Y5Th2 structure.

Cell and atoms, written as POSCAR:
```
Dy3Y5Th2
1.0
8.124 1.241 -3.655
-0.072 8.187 -3.711
-1.239 -1.366 11.013
Dy Y Th
6 10 4
Direct
0.218 0.968 0.937
0.782 0.032 0.063
0.729 0.478 0.248
0.271 0.522 0.752
0.019 0.770 0.248
0.981 0.230 0.752
0.279 0.529 0.058
0.721 0.471 0.942
0.028 0.778 0.556
0.531 0.281 0.561
0.972 0.222 0.444
0.469 0.719 0.439
0.879 0.626 0.756
0.121 0.374 0.244
0.377 0.130 0.756
0.623 0.870 0.244
0.764 0.013 0.752
0.236 0.987 0.248
0.488 0.739 0.752
0.512 0.261 0.248
```

Output
V: 33.0 Å³/atom
formation enthalpy at 0 K: 0.208 eV per atom

=====

# 19
VASP calculation (PBE-GGA) on a geometry-optimized Pm5CuIr4 structure.

Cell and atoms, written as POSCAR:
```
Pm5CuIr4
1.0
3.544 0.000 0.000
0.000 3.544 0.000
0.000 0.000 17.693
Pm Cu Ir
5 1 4
Direct
0.500 0.500 0.107
0.500 0.500 0.303
0.500 0.500 0.500
0.500 0.500 0.697
0.500 0.500 0.893
0.000 0.000 0.000
0.000 0.000 0.200
0.000 0.000 0.400
0.000 0.000 0.600
0.000 0.000 0.800
```

Output
V: 22.2 Å³/atom
formation enthalpy at 0 K: -0.526 eV per atom

=====

# 20
VASP calculation (PBE-GGA) on a geometry-optimized Pm2Pr2I7 structure.

Cell and atoms, written as POSCAR:
```
Pm2Pr2I7
1.0
-3.813 7.094 2.235
-5.394 -0.728 -6.126
-2.939 -3.484 6.811
Pm Pr I
2 2 7
Direct
0.500 0.364 0.636
0.500 0.636 0.364
0.138 0.687 0.687
0.862 0.313 0.313
0.288 0.578 0.979
0.712 0.021 0.422
0.712 0.422 0.021
0.288 0.979 0.578
0.247 0.354 0.354
0.000 0.000 0.000
0.753 0.646 0.646
```

Output
V: 47.8 Å³/atom
raw formation energy: -1.02 eV/atom

=====

Record order is preserved below.
Total moment: 0.000; 0.000; 0.000; 1.001; 0.000; 0.000; 0.000; 1.200; 0.000; 0.000; 0.000; 2.054; 0.000; 0.987; 0.000; 0.000; 0.000; 0.000; 0.030; 1.644 μB per formula unit